# 1
# MgTi2N PBE optimized geometry
data_MgTi2N
_space_group_name_H-M_alt 'R -3 m'
_space_group_IT_number 166
_space_group_name_Hall '-R 3 2"'
_cell_length_a 3.0619
_cell_length_b 3.0619
_cell_length_c 23.5622
_cell_angle_alpha 90.00
_cell_angle_beta 90.00
_cell_angle_gamma 120.00
loop_
_atom_site_label
_atom_site_fract_x
_atom_site_fract_y
_atom_site_fract_z
Mg1 0.0000 0.0000 0.0000
Ti1 0.0000 0.0000 0.1211
N1 0.0000 0.0000 0.5000
# Uncorrected formation energy (eV per formula unit): -2.78
# Calculated volume (Å³/f.u.): 63.8
# Final energy (eV per atom): -7.124
# Crystal system: trigonal

---

# 2
# TlHg2I PBE optimized geometry
data_TlHg2I
_space_group_name_H-M_alt 'P 4/m m m'
_space_group_IT_number 123
_space_group_name_Hall '-P 4 2'
_cell_length_a 4.241
_cell_length_b 4.241
_cell_length_c 7.547
_cell_angle_alpha 90.00
_cell_angle_beta 90.00
_cell_angle_gamma 90.00
loop_
_atom_site_label
_atom_site_fract_x
_atom_site_fract_y
_atom_site_fract_z
Tl1 0.000 0.000 0.000
Hg1 0.500 0.500 0.249
I1 0.000 0.000 0.500
# Uncorrected formation energy (eV per formula unit): -0.61
# ΔE to the lowest computed polymorph (meV/atom): 155
# Calculated volume (Å³/f.u.): 135.7
# Final energy (eV per atom): -1.283
# Crystal system: tetragonal

---

# 3
# SrY2Ga2 PBE optimized geometry
data_SrY2Ga2
_space_group_name_H-M_alt 'P 4/m b m'
_space_group_IT_number 127
_space_group_name_Hall '-P 4 2ab'
_cell_length_a 8.847
_cell_length_b 8.847
_cell_length_c 3.550
_cell_angle_alpha 90.00
_cell_angle_beta 90.00
_cell_angle_gamma 90.00
loop_
_atom_site_label
_atom_site_fract_x
_atom_site_fract_y
_atom_site_fract_z
Sr1 0.000 0.000 0.000
Y1 0.139 0.361 0.500
Ga1 0.164 0.664 0.000
# DFT formation energy (meV/atom): -389.5
# ΔE to the lowest computed polymorph (meV/atom): 0
# Calculated volume (Å³/f.u.): 138.9
# Final energy (eV per atom): -4.522
# Crystal system: tetragonal

---

# 4
# Tb6SnGe2Se3 PBE optimized geometry
data_Tb6SnGe2Se3
_space_group_name_H-M_alt 'C 1 2/m 1'
_space_group_IT_number 12
_cell_length_a 18.309
_cell_length_b 4.168
_cell_length_c 8.442
_cell_angle_alpha 90.00
_cell_angle_beta 103.53
_cell_angle_gamma 90.00
loop_
_space_group_symop_operation_xyz
'x,y,z'
'-x,-y,-z'
'-x,y,-z'
'x,-y,z'
'x+1/2,y+1/2,z'
'-x+1/2,-y+1/2,-z'
'-x+1/2,y+1/2,-z'
'x+1/2,-y+1/2,z'
loop_
_atom_site_label
_atom_site_fract_x
_atom_site_fract_y
_atom_site_fract_z
Tb1 0.004 0.000 0.260
Tb2 0.170 0.500 0.096
Tb3 0.171 0.500 0.576
Sn1 0.000 0.500 0.000
Ge1 0.167 0.000 0.334
Se1 0.000 0.500 0.500
Se2 0.166 0.000 0.832
# Uncorrected formation energy (eV per formula unit): -16.04
# Calculated volume (Å³/f.u.): 313.2
# Final energy (eV per atom): -5.626
# Crystal system: monoclinic

---

# 5
# LiMnPd3 PBE optimized geometry
data_LiMnPd3
_space_group_name_H-M_alt 'P m -3 m'
_space_group_IT_number 221
_space_group_name_Hall '-P 4 2 3'
_cell_length_a 4.581
_cell_length_b 4.581
_cell_length_c 4.581
_cell_angle_alpha 90.00
_cell_angle_beta 90.00
_cell_angle_gamma 90.00
loop_
_atom_site_label
_atom_site_fract_x
_atom_site_fract_y
_atom_site_fract_z
Li1 0.000 0.000 0.000
Mn1 0.500 0.500 0.500
Pd1 0.000 0.500 0.500
# DFT formation energy (meV/atom): 634.6
# ΔE to the lowest computed polymorph (meV/atom): 900
# Calculated volume (Å³/f.u.): 96.1
# Final energy (eV per atom): -4.698
# Crystal system: cubic

---

# 6
# NpAlGa3 PBE optimized geometry
data_NpAlGa3
_space_group_name_H-M_alt 'P m m n'
_space_group_IT_number 59
_cell_length_a 4.784
_cell_length_b 6.339
_cell_length_c 6.385
_cell_angle_alpha 90.00
_cell_angle_beta 90.00
_cell_angle_gamma 90.00
loop_
_space_group_symop_operation_xyz
'x,y,z'
'-x,-y,-z'
'-x+1/2,-y+1/2,z'
'x+1/2,y+1/2,-z'
'x+1/2,-y,-z'
'-x+1/2,y,z'
'-x,y+1/2,-z'
'x,-y+1/2,z'
loop_
_atom_site_label
_atom_site_fract_x
_atom_site_fract_y
_atom_site_fract_z
Np1 0.250 0.250 0.245
Al1 0.250 0.750 0.441
Ga1 0.250 0.054 0.737
Ga2 0.250 0.750 0.053
# DFT formation energy (meV/atom): -5.8
# ΔE to the lowest computed polymorph (meV/atom): 46
# Calculated volume (Å³/f.u.): 96.8
# Final energy (eV per atom): -5.159
# Crystal system: orthorhombic

---

# 7
# LiScB2 PBE optimized geometry
data_LiScB2
_space_group_name_H-M_alt 'I 41/a m d'
_space_group_IT_number 141
_cell_length_a 3.534
_cell_length_b 3.534
_cell_length_c 14.303
_cell_angle_alpha 90.00
_cell_angle_beta 90.00
_cell_angle_gamma 90.00
loop_
_space_group_symop_operation_xyz
'x,y,z'
'-x,-y,-z'
'-y+1/4,x+3/4,z+1/4'
'y+1/4,-x+3/4,-z+1/4'
'-x+1/2,-y,z+1/2'
'x+1/2,y,-z+1/2'
'y+1/4,-x+1/4,z+3/4'
'-y+1/4,x+1/4,-z+3/4'
'x,-y,-z'
'-x,y,z'
'-y+1/4,-x+1/4,-z+3/4'
'y+1/4,x+1/4,z+3/4'
'-x+1/2,y,-z+1/2'
'x+1/2,-y,z+1/2'
'y+1/4,x+3/4,-z+1/4'
'-y+1/4,-x+3/4,z+1/4'
'x+1/2,y+1/2,z+1/2'
'-x+1/2,-y+1/2,-z+1/2'
'-y+3/4,x+1/4,z+3/4'
'y+3/4,-x+1/4,-z+3/4'
'-x,-y+1/2,z'
'x,y+1/2,-z'
'y+3/4,-x+3/4,z+1/4'
'-y+3/4,x+3/4,-z+1/4'
'x+1/2,-y+1/2,-z+1/2'
'-x+1/2,y+1/2,z+1/2'
'-y+3/4,-x+3/4,-z+1/4'
'y+3/4,x+3/4,z+1/4'
'-x,y+1/2,-z'
'x,-y+1/2,z'
'y+3/4,x+1/4,-z+3/4'
'-y+3/4,-x+1/4,z+3/4'
loop_
_atom_site_label
_atom_site_fract_x
_atom_site_fract_y
_atom_site_fract_z
Li1 0.000 0.250 0.375
Sc1 0.000 0.250 0.875
B1 0.000 0.000 0.500
# DFT formation energy (meV/atom): 213.1
# ΔE to the lowest computed polymorph (meV/atom): 0
# Calculated volume (Å³/f.u.): 44.7
# Final energy (eV per atom): -5.187
# Crystal system: tetragonal

---

# 8
# InBSe3 PBE optimized geometry
data_InBSe3
_space_group_name_H-M_alt 'P m -3 m'
_space_group_IT_number 221
_space_group_name_Hall '-P 4 2 3'
_cell_length_a 5.284
_cell_length_b 5.284
_cell_length_c 5.284
_cell_angle_alpha 90.00
_cell_angle_beta 90.00
_cell_angle_gamma 90.00
loop_
_atom_site_label
_atom_site_fract_x
_atom_site_fract_y
_atom_site_fract_z
In1 0.000 0.000 0.000
B1 0.500 0.500 0.500
Se1 0.000 0.000 0.500
# Uncorrected formation energy (eV per formula unit): 6.32
# Calculated volume (Å³/f.u.): 147.5
# Final energy (eV per atom): -2.711
# Crystal system: cubic

---

# 9
# In2PtAu8 PBE optimized geometry
data_In2PtAu8
_space_group_name_H-M_alt 'C 1 2/m 1'
_space_group_IT_number 12
_cell_length_a 7.655
_cell_length_b 13.704
_cell_length_c 4.614
_cell_angle_alpha 90.00
_cell_angle_beta 115.87
_cell_angle_gamma 90.00
loop_
_space_group_symop_operation_xyz
'x,y,z'
'-x,-y,-z'
'-x,y,-z'
'x,-y,z'
'x+1/2,y+1/2,z'
'-x+1/2,-y+1/2,-z'
'-x+1/2,y+1/2,-z'
'x+1/2,-y+1/2,z'
loop_
_atom_site_label
_atom_site_fract_x
_atom_site_fract_y
_atom_site_fract_z
In1 0.000 0.189 0.000
Pt1 0.000 0.500 0.500
Au1 0.000 0.298 0.500
Au2 0.111 0.000 0.324
Au3 0.203 0.391 0.115
# DFT formation energy (meV/atom): 22.2
# ΔE to the lowest computed polymorph (meV/atom): 85
# Calculated volume (Å³/f.u.): 217.8
# Final energy (eV per atom): -3.408
# Crystal system: monoclinic

---

# 10
# Co2OsPt PBE optimized geometry
data_Co2OsPt
_space_group_name_H-M_alt 'P 1 2/m 1'
_space_group_IT_number 10
_cell_length_a 2.619
_cell_length_b 4.351
_cell_length_c 4.771
_cell_angle_alpha 90.00
_cell_angle_beta 90.76
_cell_angle_gamma 90.00
loop_
_space_group_symop_operation_xyz
'x,y,z'
'-x,-y,-z'
'-x,y,-z'
'x,-y,z'
loop_
_atom_site_label
_atom_site_fract_x
_atom_site_fract_y
_atom_site_fract_z
Co1 0.156 0.000 0.230
Os1 0.500 0.500 0.000
Pt1 0.000 0.500 0.500
# DFT formation energy (meV/atom): 291.4
# Calculated volume (Å³/f.u.): 54.4
# Final energy (eV per atom): -7.579
# Crystal system: monoclinic

---

# 11
# AcGeSb PBE optimized geometry
data_AcGeSb
_space_group_name_H-M_alt 'P 3 m 1'
_space_group_IT_number 156
_cell_length_a 4.8991
_cell_length_b 4.8991
_cell_length_c 4.3340
_cell_angle_alpha 90.00
_cell_angle_beta 90.00
_cell_angle_gamma 120.00
loop_
_space_group_symop_operation_xyz
'x,y,z'
'-y,x-y,z'
'-x+y,-x,z'
'-y,-x,z'
'-x+y,y,z'
'x,x-y,z'
loop_
_atom_site_label
_atom_site_fract_x
_atom_site_fract_y
_atom_site_fract_z
Ac1 0.0000 0.0000 0.0000
Ge1 0.6667 0.3333 0.4990
Sb1 0.3333 0.6667 0.5007
# Uncorrected formation energy (eV per formula unit): -1.83
# ΔE to the lowest computed polymorph (meV/atom): 147
# Calculated volume (Å³/f.u.): 90.1
# Final energy (eV per atom): -4.893
# Crystal system: trigonal

---

# 12
# Sc2OF PBE optimized geometry
data_Sc2OF
_space_group_name_H-M_alt 'I -4 2 d'
_space_group_IT_number 122
_space_group_name_Hall 'I -4 2bw'
_cell_length_a 5.050
_cell_length_b 5.050
_cell_length_c 9.998
_cell_angle_alpha 90.00
_cell_angle_beta 90.00
_cell_angle_gamma 90.00
loop_
_atom_site_label
_atom_site_fract_x
_atom_site_fract_y
_atom_site_fract_z
Sc1 0.218 0.250 0.125
O1 0.000 0.000 0.000
F1 0.000 0.000 0.500
# Uncorrected formation energy (eV per formula unit): -9.80
# ΔE to the lowest computed polymorph (meV/atom): 0
# Calculated volume (Å³/f.u.): 63.7
# Final energy (eV per atom): -7.323
# Crystal system: tetragonal

---

# 13
# GaSn2Pt PBE optimized geometry
data_GaSn2Pt
_space_group_name_H-M_alt 'R -3 m'
_space_group_IT_number 166
_space_group_name_Hall '-R 3 2"'
_cell_length_a 3.6609
_cell_length_b 3.6609
_cell_length_c 26.5589
_cell_angle_alpha 90.00
_cell_angle_beta 90.00
_cell_angle_gamma 120.00
loop_
_atom_site_label
_atom_site_fract_x
_atom_site_fract_y
_atom_site_fract_z
Ga1 0.0000 0.0000 0.0000
Sn1 0.0000 0.0000 0.1028
Pt1 0.0000 0.0000 0.5000
# DFT formation energy (meV/atom): -99.7
# Calculated volume (Å³/f.u.): 102.8
# Final energy (eV per atom): -4.368
# Crystal system: trigonal

---

# 14
# EuTmTl PBE optimized geometry
data_EuTmTl
_space_group_name_H-M_alt 'I 4 m m'
_space_group_IT_number 107
_space_group_name_Hall 'I 4 -2'
_cell_length_a 3.755
_cell_length_b 3.755
_cell_length_c 13.257
_cell_angle_alpha 90.00
_cell_angle_beta 90.00
_cell_angle_gamma 90.00
loop_
_atom_site_label
_atom_site_fract_x
_atom_site_fract_y
_atom_site_fract_z
Eu1 0.000 0.000 0.000
Tm1 0.000 0.000 0.303
Tl1 0.000 0.000 0.666
# DFT formation energy (meV/atom): -187.2
# ΔE to the lowest computed polymorph (meV/atom): 0
# Calculated volume (Å³/f.u.): 93.5
# Final energy (eV per atom): -5.891
# Crystal system: tetragonal

---

# 15
# ReAg2Pb PBE optimized geometry
data_ReAg2Pb
_space_group_name_H-M_alt 'C m m m'
_space_group_IT_number 65
_space_group_name_Hall '-C 2 2'
_cell_length_a 5.675
_cell_length_b 9.253
_cell_length_c 2.877
_cell_angle_alpha 90.00
_cell_angle_beta 90.00
_cell_angle_gamma 90.00
loop_
_atom_site_label
_atom_site_fract_x
_atom_site_fract_y
_atom_site_fract_z
Re1 0.000 0.000 0.000
Ag1 0.250 0.250 0.500
Pb1 0.000 0.500 0.000
# DFT formation energy (meV/atom): 725.3
# Calculated volume (Å³/f.u.): 75.5
# Final energy (eV per atom): -4.739
# Crystal system: orthorhombic

---

# 16
# PbN2F4 PBE optimized geometry
data_PbN2F4
_space_group_name_H-M_alt 'P -1'
_space_group_IT_number 2
_cell_length_a 3.550
_cell_length_b 4.658
_cell_length_c 8.713
_cell_angle_alpha 102.67
_cell_angle_beta 98.77
_cell_angle_gamma 90.00
loop_
_space_group_symop_operation_xyz
'x,y,z'
'-x,-y,-z'
loop_
_atom_site_label
_atom_site_fract_x
_atom_site_fract_y
_atom_site_fract_z
Pb1 0.000 0.000 0.000
N1 0.446 0.384 0.478
F1 0.051 0.399 0.147
F2 0.451 0.110 0.870
# Uncorrected formation energy (eV per formula unit): -9.06
# Calculated volume (Å³/f.u.): 138.9
# Final energy (eV per atom): -5.272
# Crystal system: triclinic

---

# 17
# Sr2SnPtO PBE optimized geometry
data_Sr2SnPtO
_space_group_name_H-M_alt 'P 4/m m m'
_space_group_IT_number 123
_space_group_name_Hall '-P 4 2'
_cell_length_a 5.058
_cell_length_b 5.058
_cell_length_c 4.523
_cell_angle_alpha 90.00
_cell_angle_beta 90.00
_cell_angle_gamma 90.00
loop_
_atom_site_label
_atom_site_fract_x
_atom_site_fract_y
_atom_site_fract_z
Sr1 0.000 0.500 0.000
Sn1 0.000 0.000 0.500
Pt1 0.500 0.500 0.500
O1 0.500 0.500 0.000
# Uncorrected formation energy (eV per formula unit): -5.04
# Calculated volume (Å³/f.u.): 115.7
# Final energy (eV per atom): -4.681
# Crystal system: tetragonal

---

# 18
# SrTl2InI PBE optimized geometry
data_SrTl2InI
_space_group_name_H-M_alt 'P 4/m m m'
_space_group_IT_number 123
_space_group_name_Hall '-P 4 2'
_cell_length_a 5.718
_cell_length_b 5.718
_cell_length_c 6.755
_cell_angle_alpha 90.00
_cell_angle_beta 90.00
_cell_angle_gamma 90.00
loop_
_atom_site_label
_atom_site_fract_x
_atom_site_fract_y
_atom_site_fract_z
Sr1 0.000 0.000 0.000
Tl1 0.000 0.500 0.500
In1 0.000 0.000 0.500
I1 0.500 0.500 0.000
# Uncorrected formation energy (eV per formula unit): -1.03
# Calculated volume (Å³/f.u.): 220.9
# Final energy (eV per atom): -2.346
# Crystal system: tetragonal

---

# 19
# CrCdRe2 PBE optimized geometry
data_CrCdRe2
_space_group_name_H-M_alt 'I m m m'
_space_group_IT_number 71
_space_group_name_Hall '-I 2 2'
_cell_length_a 2.876
_cell_length_b 4.571
_cell_length_c 9.433
_cell_angle_alpha 90.00
_cell_angle_beta 90.00
_cell_angle_gamma 90.00
loop_
_atom_site_label
_atom_site_fract_x
_atom_site_fract_y
_atom_site_fract_z
Cr1 0.000 0.000 0.000
Cd1 0.000 0.000 0.500
Re1 0.000 0.500 0.283
# DFT formation energy (meV/atom): 446.6
# Calculated volume (Å³/f.u.): 62.0
# Final energy (eV per atom): -8.412
# Crystal system: orthorhombic

---

# 20
# Ac4CuPtBr2 PBE optimized geometry
data_Ac4CuPtBr2
_space_group_name_H-M_alt 'P 1 2/m 1'
_space_group_IT_number 10
_cell_length_a 7.670
_cell_length_b 4.511
_cell_length_c 8.519
_cell_angle_alpha 90.00
_cell_angle_beta 107.76
_cell_angle_gamma 90.00
loop_
_space_group_symop_operation_xyz
'x,y,z'
'-x,-y,-z'
'-x,y,-z'
'x,-y,z'
loop_
_atom_site_label
_atom_site_fract_x
_atom_site_fract_y
_atom_site_fract_z
Ac1 0.232 0.000 0.200
Ac2 0.261 0.500 0.802
Cu1 0.500 0.000 0.000
Pt1 0.000 0.500 0.000
Br1 0.000 0.000 0.500
Br2 0.500 0.500 0.500
# Uncorrected formation energy (eV per formula unit): -8.02
# Calculated volume (Å³/f.u.): 280.7
# Final energy (eV per atom): -4.742
# Crystal system: monoclinic